[1]
Computed, not measured: a relaxed structure of TaCd2Cl at the GGA-PBE level of DFT.

Values from the calculation:
Crystal system: cubic
DOS(E_F): 6.2 states/eV/cell
E above lowest polymorph: 691 meV/atom
E_tot: -12.91 eV per formula unit
E_form (uncorrected): 0.655 eV/atom

a b c (Å): 6.841 6.841 6.841
angles (deg): 90.00 90.00 90.00
Space group F-43m (No. 216)
Symmetry-distinct sites (fractional):
Ta: 0.000 0.000 0.000 (multiplicity 4)
Cd: 0.000 0.000 0.500 (multiplicity 4)
Cd: 0.250 0.250 0.250 (multiplicity 4)
Cl: 0.250 0.250 0.750 (multiplicity 4)

=====

[2]
Computed, not measured: a relaxed structure of CePu2Ge3Pt4 at the GGA-PBE level of DFT.

Values from the calculation:
Crystal system: tetragonal
DOS(E_F): 28.8 states/eV/cell
E_tot: -79.73 eV per formula unit
ΔH_f (0 K): -712 meV/atom

a b c (Å): 4.279 4.279 11.324
angles (deg): 90.00 90.00 90.00
Space group P-4m2 (No. 115)
Symmetry-distinct sites (fractional):
Ce: 0.000 0.000 0.000 (multiplicity 1)
Pu: 0.000 0.500 0.730 (multiplicity 2)
Ge: 0.000 0.500 0.378 (multiplicity 2)
Ge: 0.500 0.500 0.000 (multiplicity 1)
Pt: 0.000 0.000 0.500 (multiplicity 1)
Pt: 0.000 0.500 0.162 (multiplicity 2)
Pt: 0.500 0.500 0.500 (multiplicity 1)

=====

[3]
Computed, not measured: a relaxed structure of GeTeRuI2 at the GGA-PBE level of DFT.

Values from the calculation:
Crystal system: tetragonal
DOS(E_F): 5.4 states/eV/cell
E above lowest polymorph: 499 meV/atom
E_tot: -14.85 eV per formula unit
E_form (uncorrected): 1.056 eV/atom

a b c (Å): 5.638 5.638 5.523
angles (deg): 90.00 90.00 90.00
Space group P4/mmm (No. 123)
Symmetry-distinct sites (fractional):
Ge: 0.000 0.000 0.000 (multiplicity 1)
Te: 0.000 0.000 0.500 (multiplicity 1)
Ru: 0.500 0.500 0.500 (multiplicity 1)
I: 0.000 0.500 0.000 (multiplicity 2)

=====

[4]
Computed, not measured: a relaxed structure of Sm5Se4N at the GGA-PBE level of DFT.

Values from the calculation:
Crystal system: tetragonal
DOS(E_F): 7.1 states/eV/cell
E_tot: -62.75 eV per formula unit
E_form (uncorrected): -1.689 eV/atom

a b c (Å): 4.063 4.063 29.218
angles (deg): 90.00 90.00 90.00
Space group I4/mmm (No. 139)
Symmetry-distinct sites (fractional):
Sm: 0.000 0.000 0.000 (multiplicity 2)
Sm: 0.000 0.000 0.205 (multiplicity 4)
Sm: 0.000 0.000 0.420 (multiplicity 4)
Se: 0.000 0.000 0.100 (multiplicity 4)
Se: 0.000 0.000 0.307 (multiplicity 4)
N: 0.000 0.000 0.500 (multiplicity 2)